## BaScAg2 (PBE)

Data for a relaxed BaScAg2 crystal.

## Properties
- Relative energy among the computed polymorphs: 0.332 eV/atom
- Calculated total energy: -3.331 eV/atom
- ΔE_f: 0.63 eV per formula unit

Cell lengths 5.200, 5.200, 5.200 Å; angles 60.00, 60.00, 60.00 degrees
Fractional positions:
Ba: 0.000 0.000 0.000
Sc: 0.250 0.250 0.250
Ag: 0.500 0.500 0.500
Ag: 0.750 0.750 0.750

## CaMgPN3 (PBE)

Data for a relaxed CaMgPN3 crystal.

## Properties
- Formation energy (no corrections): -382 meV/atom
- Calculated total energy: -6.046 eV/atom

Cell lengths 6.185, 6.185, 6.720 Å; angles 106.85, 106.85, 34.17 degrees
Fractional positions:
Ca: 0.156 0.156 0.081
Ca: 0.844 0.844 0.919
Mg: 0.149 0.149 0.569
Mg: 0.851 0.851 0.431
P: 0.495 0.495 0.783
P: 0.505 0.505 0.217
N: 0.004 0.004 0.263
N: 0.349 0.349 0.655
N: 0.361 0.361 0.209
N: 0.639 0.639 0.791
N: 0.651 0.651 0.345
N: 0.996 0.996 0.737

## ErPuTlIn (PBE)

Data for a relaxed ErPuTlIn crystal.

## Properties
- Relative energy among the computed polymorphs: 0.000 eV/atom
- Calculated total energy: -6.229 eV/atom
- ΔE_f: -0.92 eV per formula unit

Cell lengths 3.367, 3.367, 9.301 Å; angles 90.00, 90.00, 90.00 degrees
Fractional positions:
Er: 0.000 0.000 0.000
Pu: 0.000 0.000 0.505
Tl: 0.500 0.500 0.247
In: 0.500 0.500 0.759

Q: The highest calculated total energy belongs to which entry?
A: BaScAg2

Q: The highest calculated total energy belongs to which entry?
A: BaScAg2